# MoPbAu PBE-GGA relaxed
# - Polymorph energy (0 for the lowest one): 174.1 meV/atom
# - Fermi-level density of states: 0.695 states/eV per atom
# - ΔH_f (0 K): 0.73 eV/atom
data_MoPbAu
_chemical_formula_sum 'Mo4 Pb4 Au4'
_symmetry_space_group_name_H-M 'F -4 3 m'
_symmetry_Int_Tables_number 216
_symmetry_space_group_name_Hall 'F -4 2 3'
_cell_length_a 6.549
_cell_length_b 6.549
_cell_length_c 6.549
_cell_angle_alpha 90.00
_cell_angle_beta 90.00
_cell_angle_gamma 90.00
loop_
_atom_site_label
_atom_site_type_symbol
_atom_site_fract_x
_atom_site_fract_y
_atom_site_fract_z
_atom_site_occupancy
Mo1 Mo 0.000 0.000 0.000 1
Pb1 Pb 0.250 0.250 0.250 1
Au1 Au 0.250 0.250 0.750 1